# 1
Hf2Ti3NbN6 | GGA-PBE | relaxed

Summary:
Formation energy from raw total energies   -19.138 eV/f.u.
DOS at the Fermi energy   5.0 states/eV per cell
Electronic total energy   -10.229 eV/atom
Total magnetic moment   0.00 Bohr magnetons per cell

a b c (Å): 3.1111 6.1989 6.9440
angles (deg): 102.61 102.94 90.00
Sites, in units of the cell vectors:
N1 0.6664 0.5866 0.3329
N2 0.3284 0.9213 0.6568
N3 0.0023 0.7387 0.0047
N4 0.6716 0.0787 0.3432
N5 0.9977 0.2613 0.9953
N6 0.3336 0.4134 0.6671
Ti1 0.1603 0.8342 0.3206
Ti2 0.8397 0.1658 0.6794
Ti3 0.5000 0.5000 0.0000
Hf1 0.8367 0.6736 0.6734
Hf2 0.1633 0.3264 0.3266
Nb1 0.5000 0.0000 0.0000

# 2
HfNb2TlN | GGA-PBE | relaxed

Summary:
Formation energy from raw total energies   -1.898 eV/f.u.
DOS at the Fermi energy   4.5 states/eV per cell
Electronic total energy   -8.536 eV/atom
Total magnetic moment   0.00 Bohr magnetons per cell

a b c (Å): 4.3031 4.5810 4.3031
angles (deg): 90.00 90.00 90.00
Sites, in units of the cell vectors:
Nb1 0.5000 0.0000 0.0000
Nb2 0.0000 0.0000 0.5000
Hf1 0.0000 0.5000 0.0000
N1 0.0000 0.0000 0.0000
Tl1 0.5000 0.5000 0.5000

# 3
Tm3Hf3NbN8 | GGA-PBE | relaxed

Summary:
Formation energy from raw total energies   -24.535 eV/f.u.
DOS at the Fermi energy   2.3 states/eV per cell
Electronic total energy   -9.632 eV/atom
Total magnetic moment   0.00 Bohr magnetons per cell

a b c (Å): 6.4564 6.4565 6.5865
angles (deg): 119.35 90.00 120.00
Sites, in units of the cell vectors:
N1 0.2341 0.4682 0.7203
N2 0.2479 0.0138 0.2797
N3 0.2341 0.9862 0.7203
N4 0.7659 0.5318 0.2797
N5 0.7444 0.4888 0.7331
N6 0.7521 0.9862 0.7203
N7 0.2556 0.5112 0.2669
N8 0.7659 0.0138 0.2797
Tm1 0.0000 0.0000 0.0000
Tm2 0.0000 0.5000 0.0000
Tm3 0.5000 0.5000 0.0000
Hf1 0.5000 0.0000 0.5000
Hf2 0.0000 0.5000 0.5000
Hf3 0.5000 0.5000 0.5000
Nb1 0.0000 0.0000 0.5000